1.
Below is crystalline SrAuC2O6 at its relaxed geometry, with properties calculated at the PBE level.

Unit cell a=5.2129 b=5.2129 c=6.5339 alpha=66.49 beta=66.49 gamma=60.00
With the nearest neighbours (Å) after each atom.
Atoms (fractional coordinates):
Sr  0.0000  0.0000  0.0000  6 O 2.53
Au  0.5000  0.5000  0.5000  6 O 2.40
O  0.2486  0.9942  0.2651  1 C 1.30
O  0.0058  0.5080  0.7349  1 C 1.30
O  0.5080  0.7514  0.7349  1 C 1.30
O  0.7514  0.0058  0.7349  1 C 1.30
O  0.9942  0.4920  0.2651  1 C 1.30
O  0.4920  0.2486  0.2651  1 C 1.30
C  0.7563  0.7563  0.7312  3 O 1.30
C  0.2437  0.2437  0.2688  3 O 1.30

Output
Formation energy from raw total energies ... -1395.6 meV per atom
D(E_F) ... 5.95 states/eV/f.u.
Space group ... No. 148
Theoretical density ... 4.923 g/cm³

***

2.
Below is crystalline TiAu2CO at its relaxed geometry, with properties calculated at the PBE level.

Unit cell a=5.1073 b=3.6132 c=5.1073 alpha=90.00 beta=90.00 gamma=90.00
With the nearest neighbours (Å) after each atom.
Atoms (fractional coordinates):
C  0.5000  0.5000  0.5000  8 Au 3.13
Au  0.0000  0.0000  0.5000  2 Ti 2.55
Au  0.5000  0.0000  0.0000  2 Ti 2.55
O  0.0000  0.5000  0.0000  2 Ti 1.81
Ti  0.0000  0.0000  0.0000  2 O 1.81

Output
Formation energy from raw total energies ... 920.4 meV per atom
D(E_F) ... 3.53 states/eV/f.u.
Space group ... No. 123
Theoretical density ... 8.278 g/cm³

***

3.
Below is crystalline TlAuC2O6 at its relaxed geometry, with properties calculated at the PBE level.

Unit cell a=5.0713 b=5.0713 c=6.6023 alpha=67.41 beta=67.41 gamma=60.00
With the nearest neighbours (Å) after each atom.
Atoms (fractional coordinates):
O  0.2612  0.9997  0.2262  1 C 1.30
O  0.7388  0.0003  0.7738  1 C 1.30
O  0.4871  0.7388  0.7738  1 C 1.30
O  0.0003  0.4871  0.7738  1 C 1.30
O  0.5129  0.2612  0.2262  1 C 1.30
O  0.9997  0.5129  0.2262  1 C 1.30
C  0.7414  0.7414  0.7758  3 O 1.30
C  0.2586  0.2586  0.2242  3 O 1.30
Tl  0.0000  0.0000  0.0000  6 O 2.35
Au  0.5000  0.5000  0.5000  6 O 2.50

Output
Formation energy from raw total energies ... -829.4 meV per atom
D(E_F) ... 5.95 states/eV/f.u.
Space group ... No. 148
Theoretical density ... 6.569 g/cm³

***

4.
Below is crystalline Os3AuC at its relaxed geometry, with properties calculated at the PBE level.

Unit cell a=4.1015 b=4.1015 c=4.1015 alpha=90.00 beta=90.00 gamma=90.00
With the nearest neighbours (Å) after each atom.
Atoms (fractional coordinates):
C  0.0000  0.0000  0.0000  6 Os 2.05
Os  0.0000  0.0000  0.5000  2 C 2.05
Os  0.5000  0.0000  0.0000  2 C 2.05
Os  0.0000  0.5000  0.0000  2 C 2.05
Au  0.5000  0.5000  0.5000  12 Os 2.90

Output
D(E_F) ... 3.62 states/eV/f.u.
Space group ... No. 221
Theoretical density ... 18.764 g/cm³
ΔE_f ... 759 meV/atom

***

5.
Below is crystalline OsAu2C at its relaxed geometry, with properties calculated at the PBE level.

Unit cell a=4.9223 b=4.9223 c=7.0922 alpha=69.69 beta=69.69 gamma=90.00
With the nearest neighbours (Å) after each atom.
Atoms (fractional coordinates):
Os  0.0000  0.0000  0.0000  4 Au 2.62
Os  0.7500  0.2500  0.5000  4 Au 2.62
Au  0.8750  0.7744  0.7500  2 C 2.11
Au  0.2256  0.6250  0.2500  2 C 2.11
Au  0.5244  0.1250  0.2500  2 C 2.11
Au  0.3750  0.4756  0.7500  2 C 2.11
C  0.2500  0.7500  0.5000  4 Au 2.11
C  0.5000  0.5000  0.0000  4 Au 2.11

Output
D(E_F) ... 3.51 states/eV/f.u.
Space group ... No. 122
Theoretical density ... 13.224 g/cm³
ΔE_f ... 2005 meV/atom

***

6.
Below is crystalline OsAuC3 at its relaxed geometry, with properties calculated at the PBE level.

Unit cell a=4.0105 b=4.0105 c=4.0105 alpha=90.00 beta=90.00 gamma=90.00
With the nearest neighbours (Å) after each atom.
Atoms (fractional coordinates):
C  0.0000  0.5000  0.0000  2 Au 2.01
C  0.0000  0.0000  0.5000  2 Au 2.01
C  0.5000  0.0000  0.0000  2 Au 2.01
Os  0.5000  0.5000  0.5000  12 C 2.84
Au  0.0000  0.0000  0.0000  6 C 2.01

Output
D(E_F) ... 2.90 states/eV/f.u.
Space group ... No. 221
Theoretical density ... 10.895 g/cm³
ΔE_f ... 3549 meV/atom

***

7.
Below is crystalline OsAuC3 at its relaxed geometry, with properties calculated at the PBE level.

Unit cell a=4.0279 b=4.0279 c=4.0279 alpha=90.00 beta=90.00 gamma=90.00
With the nearest neighbours (Å) after each atom.
Atoms (fractional coordinates):
Au  0.5000  0.5000  0.5000  12 C 2.85
C  0.5000  0.0000  0.0000  2 Os 2.01
C  0.0000  0.5000  0.0000  2 Os 2.01
C  0.0000  0.0000  0.5000  2 Os 2.01
Os  0.0000  0.0000  0.0000  6 C 2.01

Output
D(E_F) ... 1.95 states/eV/f.u.
Space group ... No. 221
Theoretical density ... 10.755 g/cm³
ΔE_f ... 2036 meV/atom

***

8.
Below is crystalline Os3AuC at its relaxed geometry, with properties calculated at the PBE level.

Unit cell a=4.9223 b=4.9223 c=4.9223 alpha=90.00 beta=90.00 gamma=90.00
With the nearest neighbours (Å) after each atom.
Atoms (fractional coordinates):
Os  0.0000  0.0000  0.5000  2 Au 2.46
Os  0.0000  0.5000  0.0000  2 Au 2.46
Os  0.5000  0.0000  0.0000  2 Au 2.46
Au  0.0000  0.0000  0.0000  6 Os 2.46
C  0.5000  0.5000  0.5000  12 Os 3.48

Output
D(E_F) ... 5.90 states/eV/f.u.
Space group ... No. 221
Theoretical density ... 10.855 g/cm³
ΔE_f ... 4291 meV/atom

***

9.
Below is crystalline Pr2OsAuC at its relaxed geometry, with properties calculated at the PBE level.

Unit cell a=3.9063 b=5.2841 c=5.2841 alpha=90.00 beta=90.00 gamma=90.00
With the nearest neighbours (Å) after each atom.
Atoms (fractional coordinates):
Au  0.5000  0.5000  0.5000  8 Pr 3.29
Os  0.5000  0.0000  0.0000  2 C 1.95
Pr  0.0000  0.5000  0.0000  2 C 2.64
Pr  0.0000  0.0000  0.5000  2 C 2.64
C  0.0000  0.0000  0.0000  2 Os 1.95

Output
D(E_F) ... 2.18 states/eV/f.u.
Space group ... No. 123
Theoretical density ... 10.368 g/cm³
ΔE_f ... -394 meV/atom

***

10.
Below is crystalline OsAu2CSe at its relaxed geometry, with properties calculated at the PBE level.

Unit cell a=5.0158 b=5.0158 c=3.7135 alpha=90.00 beta=90.00 gamma=90.00
With the nearest neighbours (Å) after each atom.
Atoms (fractional coordinates):
Au  0.0000  0.5000  0.0000  2 Se 2.51
Au  0.5000  0.0000  0.0000  2 Se 2.51
Os  0.5000  0.5000  0.5000  8 Au 3.12
Se  0.0000  0.0000  0.0000  2 C 1.86
C  0.0000  0.0000  0.5000  2 Se 1.86

Output
Formation energy from raw total energies ... 2169.1 meV per atom
D(E_F) ... 3.84 states/eV/f.u.
Space group ... No. 123
Theoretical density ... 12.000 g/cm³